# MgTaCu

A relaxed MgTaCu crystal (GGA-PBE, Alexandria).

Values from the calculation:
**Formation energy from the elements**: 0.0818 eV/atom
**Energy relative to the lowest polymorph listed for this composition**: 0.00 kcal/mol of atoms
**Density**: 9.0 g cm⁻³
**VASP energy**: -34.6 eV for the cell shown

Cell: 2.8597 2.8605 12.1115 Å, 89.99 89.99 87.46°
Closest atoms and distances in Å follow each position.
Positions (direct):
Mg: 0.0000 0.0000 0.0000  4 Cu 2.72-2.79, 4 Mg 2.86
Mg: 0.0018 0.0004 0.6937  8 Cu 2.70-2.77, 4 Mg 2.86
Ta: 0.0028 0.0012 0.3850  4 Cu 2.73-2.80, 7 Ta 2.86-3.06
Ta: 0.4989 0.5001 0.1980  8 Ta 2.86-3.07, 4 Mg 3.11-3.17
Cu: 0.5016 0.4999 0.8456  8 Mg 2.70-2.79, 4 Cu 2.86
Cu: 0.5032 0.5005 0.5411  4 Mg 2.70-2.77, 4 Ta 2.73-2.80, 4 Cu 2.86